1.
Entry from Alexandria: Sr2Mg4ZnHg3 after structural relaxation (PBE).

## Properties
The value obtained for the formation energy from the elements is -0.285 eV/atom. Its space group is P-4m2. The electronic total energy is -14.8 eV for the cell shown.

a = 4.7317 Å, b = 4.7317 Å, c = 11.8674 Å
α = 90.00°, β = 90.00°, γ = 90.00°
Fractional positions:
Sr: 0.0000 0.5000 0.2387
Sr: 0.5000 0.0000 0.7613
Mg: 0.0000 0.0000 0.5000
Mg: 0.0000 0.5000 0.8789
Mg: 0.5000 0.0000 0.1211
Mg: 0.5000 0.5000 0.5000
Zn: 0.5000 0.5000 0.0000
Hg: 0.0000 0.0000 0.0000
Hg: 0.0000 0.5000 0.6439
Hg: 0.5000 0.0000 0.3561

=====

2.
Entry from Alexandria: GePt2I2 after structural relaxation (PBE).

## Properties
Its space group is P4/mbm. The electronic total energy is -37.7 eV for the cell shown. The uncorrected formation energy is 4.29 kcal/mol of atoms.

a = 7.2553 Å, b = 7.2553 Å, c = 5.0468 Å
α = 90.00°, β = 90.00°, γ = 90.00°
Fractional positions:
Ge: 0.0000 0.0000 0.0000
Ge: 0.5000 0.5000 0.0000
Pt: 0.2467 0.2533 0.0000
Pt: 0.2533 0.7533 0.0000
Pt: 0.7467 0.2467 0.0000
Pt: 0.7533 0.7467 0.0000
I: 0.1756 0.6756 0.5000
I: 0.3244 0.1756 0.5000
I: 0.6756 0.8244 0.5000
I: 0.8244 0.3244 0.5000

=====

3.
Entry from Alexandria: LiMg2Tc after structural relaxation (PBE).

## Properties
The value obtained for the formation energy from the elements is 0.288 eV/atom. Its space group is Fm-3m. The electronic total energy is -14.3 eV for the cell shown.

a = 4.6015 Å, b = 4.6015 Å, c = 4.6015 Å
α = 60.00°, β = 60.00°, γ = 60.00°
Fractional positions:
Li: 0.0000 0.0000 0.0000
Mg: 0.2500 0.2500 0.2500
Mg: 0.7500 0.7500 0.7500
Tc: 0.5000 0.5000 0.5000

=====

4.
Entry from Alexandria: CeLuGaAg after structural relaxation (PBE).

## Properties
The value obtained for the formation energy from the elements is -0.342 eV/atom. Its space group is F-43m. The electronic total energy is -17.7 eV for the cell shown.

a = 5.1317 Å, b = 5.1317 Å, c = 5.1317 Å
α = 60.00°, β = 60.00°, γ = 60.00°
Fractional positions:
Ce: 0.0000 0.0000 0.0000
Lu: 0.5000 0.5000 0.5000
Ga: 0.2500 0.2500 0.2500
Ag: 0.7500 0.7500 0.7500

=====

5.
Entry from Alexandria: Cu2SbPdSe after structural relaxation (PBE).

## Properties
Its space group is P4/mmm. The electronic total energy is -17.1 eV for the cell shown. The uncorrected formation energy is 17.75 kcal/mol of atoms.

a = 4.7112 Å, b = 4.7112 Å, c = 5.6217 Å
α = 90.00°, β = 90.00°, γ = 90.00°
Fractional positions:
Cu: 0.0000 0.5000 0.0000
Cu: 0.5000 0.0000 0.0000
Sb: 0.0000 0.0000 0.0000
Pd: 0.5000 0.5000 0.5000
Se: 0.0000 0.0000 0.5000

=====

6.
Entry from Alexandria: SrCaPm2S4 after structural relaxation (PBE).

## Properties
Its space group is P2/m. The electronic total energy is -46.1 eV for the cell shown. The uncorrected formation energy is -47.29 kcal/mol of atoms.

a = 7.0273 Å, b = 4.0597 Å, c = 7.1726 Å
α = 90.00°, β = 109.07°, γ = 90.00°
Fractional positions:
Sr: 0.0000 0.0000 0.0000
Ca: 0.5000 0.5000 0.0000
Pm: 0.0000 0.5000 0.5000
Pm: 0.5000 0.0000 0.5000
S: 0.2557 0.0000 0.7485
S: 0.2580 0.5000 0.2565
S: 0.7420 0.5000 0.7435
S: 0.7443 0.0000 0.2515

=====

7.
Entry from Alexandria: Ti9In3O2 after structural relaxation (PBE).

## Properties
Its space group is P-3m1. The electronic total energy is -101.2 eV for the cell shown. The uncorrected formation energy is -19.81 kcal/mol of atoms.

a = 5.9162 Å, b = 5.9162 Å, c = 7.2914 Å
α = 90.00°, β = 90.00°, γ = 120.00°
Fractional positions:
Ti: 0.0000 0.5000 0.0000
Ti: 0.1604 0.3209 0.6586
Ti: 0.1604 0.8396 0.6586
Ti: 0.3209 0.1604 0.3414
Ti: 0.5000 0.0000 0.0000
Ti: 0.5000 0.5000 0.0000
Ti: 0.6791 0.8396 0.6586
Ti: 0.8396 0.1604 0.3414
Ti: 0.8396 0.6791 0.3414
In: 0.0000 0.0000 0.0000
In: 0.3333 0.6667 0.3339
In: 0.6667 0.3333 0.6661
O: 0.3333 0.6667 0.8300
O: 0.6667 0.3333 0.1700

=====

8.
Entry from Alexandria: TlV2InCl after structural relaxation (PBE).

## Properties
Its space group is P4/mmm. The electronic total energy is -20.0 eV for the cell shown. The uncorrected formation energy is 23.90 kcal/mol of atoms.

a = 5.3143 Å, b = 5.3143 Å, c = 5.6006 Å
α = 90.00°, β = 90.00°, γ = 90.00°
Fractional positions:
Tl: 0.0000 0.0000 0.0000
V: 0.0000 0.5000 0.5000
V: 0.5000 0.0000 0.5000
In: 0.5000 0.5000 0.5000
Cl: 0.5000 0.5000 0.0000